(1)
Hf2MgHg (PBE-GGA, optimized geometry); DFT total energy = -5.5424 eV per atom; E_form = -0.4 eV per formula unit; relative energy among the computed polymorphs = 0 meV/atom; symmetry = No. 99
1.0
3.230 0.000 0.000
0.000 3.230 0.000
0.000 0.000 8.335
Hg Hf Mg
1 2 1
Direct
0.000 0.000 0.507
0.000 0.000 0.008
0.500 0.500 0.255
0.500 0.500 0.730


(2)
La2Er3Tm2 (PBE-GGA, optimized geometry); DFT total energy = -4.4213 eV per atom; E_form = 1.5 eV per formula unit; relative energy among the computed polymorphs = 187 meV/atom; symmetry = No. 199
1.0
2.124 7.926 1.981
-1.998 -0.414 -8.191
-6.639 -2.377 4.639
Er La Tm
6 4 4
Direct
0.250 0.948 0.198
0.052 0.302 0.250
0.802 0.250 0.552
0.448 0.198 0.750
0.698 0.750 0.948
0.750 0.552 0.302
0.000 0.000 0.815
0.185 0.685 0.685
0.315 0.500 0.000
0.500 0.815 0.500
0.584 0.084 0.084
0.916 0.500 0.000
0.500 0.416 0.500
0.000 0.000 0.416


(3)
Er3AsPbS (PBE-GGA, optimized geometry); DFT total energy = -5.6326 eV per atom; uncorrected formation energy = -1.27 eV per atom; symmetry = No. 11
1.0
4.072 0.000 0.000
0.000 7.164 0.166
0.000 -2.642 10.600
S Pb Er As
2 2 6 2
Direct
0.750 0.875 0.363
0.250 0.125 0.637
0.750 0.649 0.690
0.250 0.351 0.310
0.750 0.044 0.156
0.750 0.559 0.163
0.250 0.956 0.844
0.250 0.758 0.493
0.250 0.441 0.837
0.750 0.242 0.507
0.750 0.235 0.946
0.250 0.765 0.054


no.,magnetization (μB/atom)
1,0.00
2,0.00
3,0.00